# Ba2Sn4Pd3Pb PBE optimized geometry
# Density of states at the Fermi level, states/eV per cell: 5.193
# Total energy, eV per atom: -4.5141
# Size of the total moment, μB/f.u.: 0.00
# Energy of formation, eV/atom: -0.600
data_Ba2Sn4Pd3Pb
_cell_length_a 4.8317
_cell_length_b 4.8317
_cell_length_c 11.4709
_cell_angle_alpha 90.00
_cell_angle_beta 90.00
_cell_angle_gamma 90.00
_space_group_name_H-M_alt 'P -4 m 2'
_space_group_IT_number 115
loop_
_space_group_symop_operation_xyz
'x,y,z'
'y,-x,-z'
'-x,-y,z'
'-y,x,-z'
'-x,y,z'
'-y,-x,-z'
'x,-y,z'
'y,x,-z'
loop_
_atom_site_label
_atom_site_type_symbol
_atom_site_fract_x
_atom_site_fract_y
_atom_site_fract_z
Ba1 Ba 0.0000 0.5000 0.2440
Sn1 Sn 0.0000 0.0000 0.0000
Sn2 Sn 0.0000 0.5000 0.6495
Sn3 Sn 0.5000 0.5000 0.0000
Pd1 Pd 0.0000 0.5000 0.8839
Pd2 Pd 0.5000 0.5000 0.5000
Pb1 Pb 0.0000 0.0000 0.5000